This record from Alexandria via LeMat-Bulk describes an optimized crystal structure of Li3NpBr9. The functional is PBE.

Computed properties:
As for the total energy: -193.08 eV/cell. The value obtained for the formation energy from raw total energies is -108 kJ/mol of atoms.

```
data_Li3NpBr9
_symmetry_space_group_name_H-M 'C 1 c 1'
_symmetry_Int_Tables_number 9
_symmetry_space_group_name_Hall 'C -2yc'
_cell_length_a 18.565
_cell_length_b 9.711
_cell_length_c 14.149
_cell_angle_alpha 90.00
_cell_angle_beta 128.12
_cell_angle_gamma 90.00
loop_
_atom_site_label
_atom_site_fract_x
_atom_site_fract_y
_atom_site_fract_z
Li1 0.000 0.077 0.000
Li2 0.087 0.266 0.796
Li3 0.211 0.218 0.716
Np1 0.357 0.190 0.616
Br1 0.053 0.135 0.616
Br2 0.055 0.251 0.938
Br3 0.215 0.344 0.554
Br4 0.244 0.353 0.884
Br5 0.245 0.007 0.974
Br6 0.344 0.302 0.433
Br7 0.364 0.080 0.794
Br8 0.470 0.387 0.760
Br9 0.499 0.040 0.674
```